TaCr3Br2O6: optimized geometry, PBE+U.

Properties
As for the space group: C2/m (12). Its total energy is -7.29 eV per atom.

The structure in POSCAR format:
```
TaCr3Br2O6
1.0
5.343 -3.001 0.000
5.343 3.001 0.000
-1.175 0.000 5.207
Ta Cr Br O
1 3 2 6
direct
0.000 0.000 0.000
0.000 0.500 0.000
0.500 0.000 0.000
0.500 0.500 0.500
0.294 0.294 0.660
0.706 0.706 0.340
0.184 0.184 0.165
0.186 0.689 0.213
0.311 0.814 0.787
0.689 0.186 0.213
0.814 0.311 0.787
0.816 0.816 0.835
```